# 1
This record from Alexandria describes ScTaP2Cl after structural relaxation. The functional is PBE.

```
ScTaP2Cl
1.0
-4.2485 -2.5301 -0.2226
0.2200 -0.7987 4.8800
-2.3496 3.8803 0.7410
Sc P Cl Ta
1 2 1 1
direct
0.0000 0.0000 0.0000 Sc
0.0000 0.5000 0.0000 P
0.5000 0.0000 0.0000 P
0.0000 0.0000 0.5000 Cl
0.5000 0.5000 0.5000 Ta
```

Values from the calculation:
Symmetry = P4/mmm (123)
Fermi-level density of states = 4.90 states/eV/cell
Mass density = 4.767 g cm⁻³
Polymorph energy (0 for the lowest one) = 0.7016 eV/atom
Calculated total energy = -5.64 eV per atom



# 2
This record from Alexandria describes ScTeP2Cl after structural relaxation. The functional is PBE.

```
ScTeP2Cl
1.0
-2.5859 -4.3897 0.7426
4.3194 -2.6818 -0.8117
0.9830 0.1962 4.5825
Sc P Te Cl
1 2 1 1
direct
0.0000 0.0000 0.0000 Sc
0.0000 0.5000 0.0000 P
0.5000 0.0000 0.0000 P
0.5000 0.5000 0.5000 Te
0.0000 0.0000 0.5000 Cl
```

Values from the calculation:
Symmetry = P4/mmm (123)
Fermi-level density of states = 3.56 states/eV/cell
Mass density = 3.605 g cm⁻³
Polymorph energy (0 for the lowest one) = 0.0000 eV/atom
Calculated total energy = -4.49 eV per atom



# 3
This record from Alexandria describes ScTeP2Cl after structural relaxation. The functional is PBE.

```
ScTeP2Cl
1.0
-4.7322 -1.7664 -0.7555
1.9140 -4.1608 -2.2603
0.1620 -2.3160 4.4005
Sc P Te Cl
1 2 1 1
direct
0.5000 0.5000 0.5000 Sc
0.0000 0.5000 0.0000 P
0.5000 0.0000 0.0000 P
0.0000 0.0000 0.0000 Te
0.0000 0.0000 0.5000 Cl
```

Values from the calculation:
Symmetry = P4/mmm (123)
Fermi-level density of states = 3.54 states/eV/cell
Mass density = 3.454 g cm⁻³
Polymorph energy (0 for the lowest one) = 0.5734 eV/atom
Calculated total energy = -3.91 eV per atom



# 4
This record from Alexandria describes ScTePCl2 after structural relaxation. The functional is PBE.

```
ScTePCl2
1.0
-1.3293 -4.1519 2.6846
3.5098 1.1656 3.5405
-3.7411 2.9646 2.7326
Sc P Te Cl
1 1 1 2
direct
0.5000 0.5000 0.5000 Sc
0.0000 0.0000 0.5000 P
0.0000 0.0000 0.0000 Te
0.0000 0.5000 0.0000 Cl
0.5000 0.0000 0.0000 Cl
```

Values from the calculation:
Symmetry = P4/mmm (123)
Fermi-level density of states = 3.65 states/eV/cell
Mass density = 3.161 g cm⁻³
Polymorph energy (0 for the lowest one) = 0.9149 eV/atom
Calculated total energy = -3.46 eV per atom



# 5
This record from Alexandria describes ScTePCl2 after structural relaxation. The functional is PBE.

```
ScTePCl2
1.0
-2.5284 -3.4228 2.1239
3.8978 -1.4460 2.3099
-1.2196 3.5611 4.2873
Sc P Te Cl
1 1 1 2
direct
0.0000 0.0000 0.0000 Sc
0.0000 0.0000 0.5000 P
0.5000 0.5000 0.5000 Te
0.0000 0.5000 0.0000 Cl
0.5000 0.0000 0.0000 Cl
```

Values from the calculation:
Symmetry = P4/mmm (123)
Fermi-level density of states = 3.55 states/eV/cell
Mass density = 3.531 g cm⁻³
Polymorph energy (0 for the lowest one) = 0.0000 eV/atom
Calculated total energy = -4.38 eV per atom



# 6
This record from Alexandria describes ScTiP2Cl after structural relaxation. The functional is PBE.

```
ScTiP2Cl
1.0
4.9327 0.0000 0.0000
0.0000 4.9327 0.0000
0.0000 0.0000 4.7987
Sc P Cl Ti
1 2 1 1
direct
0.0000 0.0000 0.0000 Sc
0.0000 0.5000 0.0000 P
0.5000 0.0000 0.0000 P
0.0000 0.0000 0.5000 Cl
0.5000 0.5000 0.5000 Ti
```

Values from the calculation:
Symmetry = P4/mmm (123)
Fermi-level density of states = 4.62 states/eV/cell
Mass density = 2.705 g cm⁻³
Polymorph energy (0 for the lowest one) = 0.4576 eV/atom
Calculated total energy = -5.38 eV per atom



# 7
This record from Alexandria describes ScTiP2Cl after structural relaxation. The functional is PBE.

```
ScTiP2Cl
1.0
4.7623 0.0000 0.0000
0.0000 4.7623 0.0000
0.0000 0.0000 4.5655
Sc P Cl Ti
1 2 1 1
direct
0.5000 0.5000 0.5000 Sc
0.0000 0.5000 0.0000 P
0.5000 0.0000 0.0000 P
0.0000 0.0000 0.5000 Cl
0.0000 0.0000 0.0000 Ti
```

Values from the calculation:
Symmetry = P4/mmm (123)
Fermi-level density of states = 2.56 states/eV/cell
Mass density = 3.051 g cm⁻³
Polymorph energy (0 for the lowest one) = 0.0000 eV/atom
Calculated total energy = -5.83 eV per atom



# 8
This record from Alexandria describes ScTlPCl2 after structural relaxation. The functional is PBE.

```
ScTlPCl2
1.0
-2.1467 -1.1667 -4.6088
4.6872 -1.3650 -1.8377
-0.8019 -4.9397 1.6240
Sc P Tl Cl
1 1 1 2
direct
0.5000 0.5000 0.5000 Sc
0.0000 0.0000 0.5000 P
0.0000 0.0000 0.0000 Tl
0.0000 0.5000 0.0000 Cl
0.5000 0.0000 0.0000 Cl
```

Values from the calculation:
Symmetry = P4/mmm (123)
Fermi-level density of states = 3.44 states/eV/cell
Mass density = 4.074 g cm⁻³
Polymorph energy (0 for the lowest one) = 1.0626 eV/atom
Calculated total energy = -3.47 eV per atom